1.
# K2SrCo (PBE, relaxed)
# E_form: 1.182 eV per atom
# energy relative to the lowest polymorph listed for this composition: 651 meV per atom
data_K2SrCo
_space_group_name_H-M_alt 'I -4 2 d'
_space_group_IT_number 122
_space_group_name_Hall 'I -4 2bw'
_cell_length_a 8.7878
_cell_length_b 8.7878
_cell_length_c 13.8394
_cell_angle_alpha 90.00
_cell_angle_beta 90.00
_cell_angle_gamma 90.00
loop_
_atom_site_label
_atom_site_fract_x
_atom_site_fract_y
_atom_site_fract_z
K1 0.0122 0.2500 0.1250
Sr1 0.0000 0.0000 0.5000
Co1 0.0000 0.0000 0.0000

---

2.
# Nd8As6Cl (PBE, relaxed)
# ΔE_f (raw): -1204 meV per atom
data_Nd8As6Cl
_space_group_name_H-M_alt 'P -3'
_space_group_IT_number 147
_space_group_name_Hall '-P 3'
_cell_length_a 11.2804
_cell_length_b 11.2804
_cell_length_c 4.3941
_cell_angle_alpha 90.00
_cell_angle_beta 90.00
_cell_angle_gamma 120.00
loop_
_atom_site_label
_atom_site_fract_x
_atom_site_fract_y
_atom_site_fract_z
Nd1 0.0365 0.3680 0.2557
Nd2 0.3333 0.6667 0.7466
As1 0.1420 0.6658 0.2453
Cl1 0.0000 0.0000 0.5000

---

3.
# LiUAsO6 (PBE, relaxed)
# energy relative to the lowest polymorph listed for this composition: 0 meV per atom
# ΔE_f (raw): -2242 meV per atom
data_LiUAsO6
_space_group_name_H-M_alt 'P -1'
_space_group_IT_number 2
_space_group_name_Hall '-P 1'
_cell_length_a 5.2159
_cell_length_b 5.5091
_cell_length_c 10.0257
_cell_angle_alpha 88.73
_cell_angle_beta 82.20
_cell_angle_gamma 76.73
loop_
_atom_site_label
_atom_site_fract_x
_atom_site_fract_y
_atom_site_fract_z
Li1 0.0587 0.0593 0.2272
U1 0.0000 0.5000 0.0000
U2 0.5000 0.0000 0.5000
As1 0.4079 0.4940 0.2599
O1 0.1865 0.0061 0.6090
O2 0.1874 0.6690 0.1611
O3 0.2081 0.1952 0.0339
O4 0.2840 0.6158 0.8321
O5 0.2893 0.2488 0.3327
O6 0.4364 0.6892 0.3840

---

no.,Fermi-level density of states (states/eV per cell),raw total energy (eV per cell)
1,44.54,-25.02
2,10.84,-85.94
3,0.00,-135.56